Entry 1:
Here is a relaxed Zr4CuAuN2 crystal from the Open Quantum Materials Database. Energies are from PBE.

Summary:
Uncorrected energy: -65.25 eV/cell
Total magnetization: 0.000 μB/atom

abc: 3.2868 3.2868 13.8198
angles: 90.00 90.00 120.00
Space group P-6m2 (No. 187)
One atom of each set of equivalent atoms:
Zr  0.0000  0.0000  0.1517 [2 per cell]
Zr  0.3333  0.6667  0.3354 [2 per cell]
Cu  0.3333  0.6667  0.0000 [1 per cell]
Au  0.0000  0.0000  0.5000 [1 per cell]
N  0.6667  0.3333  0.2442 [2 per cell]


Entry 2:
Here is a relaxed LiHgN crystal from the Open Quantum Materials Database. Energies are from PBE.

Summary:
Uncorrected energy: -66.91 eV/cell

abc: 3.1051 3.1051 32.8691
angles: 90.00 90.00 120.00
Space group R3m (No. 160, hexagonal axes)
One atom of each set of equivalent atoms:
Li  0.0000  0.0000  0.0000 [3 per cell]
Li  0.0000  0.0000  0.1067 [3 per cell]
Hg  0.0000  0.0000  0.2625 [3 per cell]
Hg  0.0000  0.0000  0.5108 [3 per cell]
N  0.0000  0.0000  0.7018 [3 per cell]
N  0.0000  0.0000  0.7382 [3 per cell]


Entry 3:
Here is a relaxed Li4ZnCdNi2 crystal from the Open Quantum Materials Database. Energies are from PBE.

Summary:
Uncorrected energy: -21.90 eV/cell
Total magnetization: 0.000 μB/atom

abc: 4.224 4.224 6.059
angles: 90.00 90.00 90.00
Space group P-4m2 (No. 115)
One atom of each set of equivalent atoms:
Li  0.000  0.000  0.000 [1 per cell]
Li  0.000  0.500  0.235 [2 per cell]
Li  0.500  0.500  0.500 [1 per cell]
Zn  0.500  0.500  0.000 [1 per cell]
Cd  0.000  0.000  0.500 [1 per cell]
Ni  0.000  0.500  0.773 [2 per cell]


Entry 4:
Here is a relaxed Ta4Sn5Pd5 crystal from the Open Quantum Materials Database. Energies are from PBE.

Summary:
Uncorrected energy: -192.49 eV/cell
Total magnetization: 0.001 μB/atom

abc: 9.833 9.833 6.221
angles: 90.00 90.00 90.00
Space group I-4 (No. 82)
One atom of each set of equivalent atoms:
Ta  0.100  0.300  0.002 [8 per cell]
Sn  0.000  0.000  0.000 [2 per cell]
Sn  0.089  0.284  0.508 [8 per cell]
Pd  0.000  0.500  0.750 [2 per cell]
Pd  0.106  0.787  0.229 [8 per cell]